[1]
Crystalline CaHI at its relaxed geometry, computed with GGA-PBEsol.

a b c (Å): 3.970 3.970 8.625
angles (deg): 90.00 90.00 90.00
Atoms (fractional coordinates):
I 0.000 0.500 0.683
I 0.500 0.000 0.317
H 0.500 0.500 0.000
H 0.000 0.000 0.000
Ca 0.000 0.500 0.138
Ca 0.500 0.000 0.862

VASP energy   -21.243 eV per cell
Magnetization   0.00 μB/atom
N(E_F)   0.00 states/eV/f.u.



[2]
Crystalline ZrHRu2 at its relaxed geometry, computed with GGA-PBEsol.

a b c (Å): 4.245 4.245 4.245
angles (deg): 60.00 60.00 60.00
Atoms (fractional coordinates):
Ru 0.250 0.250 0.250
Ru 0.750 0.750 0.750
Zr 0.500 0.500 0.500
H 0.000 0.000 0.000

VASP energy   -30.412 eV per cell
Magnetization   0.00 μB/atom
N(E_F)   4.92 states/eV/f.u.